Record 1
The following is a DFT calculation (PBE) of crystalline Pm2Th2S7 at its relaxed geometry.

Geometry as extended XYZ:
```
11
Lattice="4.715 0.000 0.000 0.000 4.715 0.000 0.000 0.000 13.352" Properties=species:S:1:pos:R:3 pbc="T T T"
Pm 0.000 2.357 1.867
Pm 2.357 0.000 11.486
Th 0.000 2.357 8.349
Th 2.357 0.000 5.004
S 0.000 0.000 3.209
S 0.000 0.000 6.676
S 0.000 0.000 10.143
S 2.357 2.357 0.000
S 2.357 2.357 3.442
S 2.357 2.357 6.676
S 2.357 2.357 9.910
```

Uncorrected energy   -6.7742 eV/atom
Formation energy from raw total energies   -21.3 eV per formula unit
Space-group type   P-4m2, No. 115

---

Record 2
The following is a DFT calculation (PBE) of crystalline PmThS at its relaxed geometry.

Geometry as extended XYZ:
```
3
Lattice="3.911 0.000 0.000 0.000 3.962 0.000 0.000 0.000 5.577" Properties=species:S:1:pos:R:3 pbc="T T T"
Pm 0.000 0.000 0.000
Th 1.956 1.981 2.788
S 1.956 1.981 0.000
```

N(E_F)   3.51 states/eV/f.u.
Uncorrected energy   -6.5461 eV/atom
Formation energy from raw total energies   -3.3 eV per formula unit
Space-group type   Pmmm, No. 47

---

Record 3
The following is a DFT calculation (PBE) of crystalline Pm2Th3S8 at its relaxed geometry.

Geometry as extended XYZ:
```
13
Lattice="7.123 -4.119 0.000 7.123 4.119 0.000 -2.217 0.000 6.366" Properties=species:S:1:pos:R:3 pbc="T T T"
Pm 3.040 0.000 1.019
Pm 8.988 0.000 5.348
Th 6.014 2.096 3.183
Th 7.123 0.000 0.000
Th 6.014 -2.096 3.183
S 0.663 0.000 2.556
S 5.132 1.910 0.509
S 4.139 0.000 3.626
S 6.895 1.910 5.858
S 5.132 -1.910 0.509
S 7.889 0.000 2.741
S 6.895 -1.910 5.858
S 11.364 0.000 3.811
```

N(E_F)   7.86 states/eV/f.u.
Uncorrected energy   -6.8505 eV/atom
Formation energy from raw total energies   -24.3 eV per formula unit
Space-group type   C2/m, No. 12

---

Record 4
The following is a DFT calculation (PBE) of crystalline Pm4ThS4 at its relaxed geometry.

Geometry as extended XYZ:
```
9
Lattice="6.330 -2.839 0.000 6.330 2.839 0.000 -6.321 0.000 6.336" Properties=species:S:1:pos:R:3 pbc="T T T"
Pm -1.275 0.000 2.553
Pm 2.555 0.000 1.276
Pm 3.784 0.000 5.060
Pm 7.615 0.000 3.783
Th 6.330 0.000 0.000
S -2.520 0.000 5.057
S 1.282 0.000 3.802
S 5.058 0.000 2.534
S 8.860 0.000 1.279
```

N(E_F)   5.32 states/eV/f.u.
Uncorrected energy   -6.5019 eV/atom
Formation energy from raw total energies   -15.6 eV per formula unit
Space-group type   C2/m, No. 12